# 1
FeRe2 (PBE, relaxed); calculated formation energy = 95 meV/atom; electronic total energy = -66.1 eV for the cell shown
1.0
1.9135 -5.6280 0.0000
1.9135 5.6280 0.0000
0.0000 0.0000 3.8414
Fe Re
2 4
Cartesian
1.9135 4.7169 2.8811
1.9135 -4.7169 0.9604
1.9135 2.8458 0.9604
1.9135 0.9081 2.8811
1.9135 -0.9081 0.9604
1.9135 -2.8458 2.8811

---

# 2
Fe5Re4 (PBE, relaxed); calculated formation energy = 170 meV/atom; energy above the lowest structure with this stoichiometry = 64 meV/atom; electronic total energy = -181.1 eV for the cell shown
1.0
7.1647 0.0000 0.0000
-3.5823 6.2048 0.0000
0.0000 0.0000 5.1282
Fe Re
10 8
Cartesian
-1.2001 2.0787 1.2821
-2.3822 4.1261 3.8462
0.0000 4.1365 0.0000
0.0000 4.1365 2.5641
2.4003 0.0000 1.2821
1.2001 2.0787 3.8462
4.7644 0.0000 3.8462
2.3822 4.1261 1.2821
3.5823 2.0683 0.0000
3.5823 2.0683 2.5641
0.0000 0.0000 0.0000
0.0000 0.0000 2.5641
-1.2130 2.1011 3.8462
-2.3693 4.1037 1.2821
2.4261 0.0000 3.8462
1.2130 2.1011 1.2821
4.7386 0.0000 1.2821
2.3693 4.1037 3.8462

---

Which of these has the lowest electronic total energy?
Fe5Re4

---

The highest calculated formation energy belongs to which entry?
Fe5Re4

---

Repeat the first record exactly.
FeRe2 (PBE, relaxed); calculated formation energy = 95 meV/atom; electronic total energy = -66.1 eV for the cell shown
1.0
1.9135 -5.6280 0.0000
1.9135 5.6280 0.0000
0.0000 0.0000 3.8414
Fe Re
2 4
Cartesian
1.9135 4.7169 2.8811
1.9135 -4.7169 0.9604
1.9135 2.8458 0.9604
1.9135 0.9081 2.8811
1.9135 -0.9081 0.9604
1.9135 -2.8458 2.8811

---

Among the records above, which one has the highest calculated formation energy?
Fe5Re4